A relaxed structure of LaAsIrAu, computed with PBE-GGA.

Output
Total magnetization (μB per atom): 0.00
Relative energy among the computed polymorphs (meV/atom): 208
Electronic total energy (eV/cell): -22.25

Lattice parameters (Å, degrees): 4.904 4.904 4.904 60.00 60.00 60.00
Positions (direct):
As (0.500, 0.500, 0.500)
Au (0.750, 0.750, 0.750)
Ir (0.000, 0.000, 0.000)
La (0.250, 0.250, 0.250)

=====

A relaxed structure of Tm2SiGeIr, computed with PBE-GGA.

Output
Total magnetization (μB per atom): 0.00
Electronic total energy (eV/cell): -65.57

Lattice parameters (Å, degrees): 5.652 5.652 10.039 116.41 116.41 43.58
Positions (direct):
Ge (0.522, 0.522, 0.376)
Ge (0.478, 0.478, 0.624)
Ir (0.269, 0.269, 0.122)
Ir (0.731, 0.731, 0.878)
Si (0.640, 0.640, 0.066)
Si (0.360, 0.360, 0.934)
Tm (0.005, 0.005, 0.174)
Tm (0.818, 0.818, 0.387)
Tm (0.182, 0.182, 0.613)
Tm (0.995, 0.995, 0.826)

=====

A relaxed structure of RbSmGeSe3, computed with PBE-GGA.

Output
Total magnetization (μB per atom): 0.00
Electronic total energy (eV/cell): -54.99

Lattice parameters (Å, degrees): 7.879 7.879 11.447 90.00 90.00 146.59
Positions (direct):
Ge (0.967, 0.033, 0.250)
Ge (0.033, 0.967, 0.750)
Rb (0.246, 0.754, 0.250)
Rb (0.754, 0.246, 0.750)
Se (0.876, 0.124, 0.051)
Se (0.562, 0.438, 0.250)
Se (0.876, 0.124, 0.449)
Se (0.124, 0.876, 0.551)
Se (0.438, 0.562, 0.750)
Se (0.124, 0.876, 0.949)
Sm (0.500, 0.500, 0.000)
Sm (0.500, 0.500, 0.500)

=====

A relaxed structure of BaErAl, computed with PBE-GGA.

Output
Total magnetization (μB per atom): 0.01
Relative energy among the computed polymorphs (meV/atom): 0
Electronic total energy (eV/cell): -9.61

Lattice parameters (Å, degrees): 5.427 5.427 5.427 60.00 60.00 60.00
Positions (direct):
Al (0.000, 0.000, 0.000)
Ba (0.250, 0.250, 0.250)
Er (0.750, 0.750, 0.750)